No. 1
First-principles (PBE) data for a relaxed YZn2Mo crystal, as listed in Alexandria.

Cell: 4.990 4.990 4.990 Å, 129.29 129.29 74.54°
Element x y z (fractional)
Y 0.000 0.000 0.000
Zn 0.250 0.750 0.500
Zn 0.750 0.250 0.500
Mo 0.500 0.500 0.000

Values from the calculation:
Calculated density, g/cm³: 7.2
DOS(E_F), states/eV per cell: 3.751
Total moment, Bohr magnetons per cell: 0.8
Raw total energy, eV per atom: -4.881
E above lowest polymorph, meV/atom: 61

***

No. 2
First-principles (PBE) data for a relaxed YZn2Mo crystal, as listed in Alexandria.

Cell: 2.964 2.964 8.129 Å, 90.00 90.00 90.00°
Element x y z (fractional)
Y 0.000 0.000 0.000
Zn 0.500 0.500 0.275
Zn 0.500 0.500 0.725
Mo 0.000 0.000 0.500

Values from the calculation:
Calculated density, g/cm³: 7.3
DOS(E_F), states/eV per cell: 2.495
Total moment, Bohr magnetons per cell: 0.0
Raw total energy, eV per atom: -4.856
E above lowest polymorph, meV/atom: 86

***

No. 3
First-principles (PBE) data for a relaxed YZnMo2 crystal, as listed in Alexandria.

Cell: 5.021 5.021 5.063 Å, 111.55 111.55 40.88°
Element x y z (fractional)
Y 0.000 0.000 0.000
Zn 0.776 0.776 0.316
Mo 0.228 0.228 0.710
Mo 0.525 0.525 0.503

Values from the calculation:
Calculated density, g/cm³: 7.5
DOS(E_F), states/eV per cell: 2.454
Total moment, Bohr magnetons per cell: 0.0
Raw total energy, eV per atom: -7.089

***

No. 4
First-principles (PBE) data for a relaxed YZnMo2 crystal, as listed in Alexandria.

Cell: 5.650 5.650 2.820 Å, 101.02 101.02 119.82°
Element x y z (fractional)
Y 0.000 0.000 0.000
Zn 0.500 0.500 0.000
Mo 0.000 0.500 0.500
Mo 0.500 0.000 0.500

Values from the calculation:
Calculated density, g/cm³: 8.0
DOS(E_F), states/eV per cell: 3.740
Total moment, Bohr magnetons per cell: 0.0
Raw total energy, eV per atom: -6.952

***

No. 5
First-principles (PBE) data for a relaxed YZnMo2 crystal, as listed in Alexandria.

Cell: 5.433 5.433 2.770 Å, 90.00 90.00 117.01°
Element x y z (fractional)
Y 0.000 0.000 0.000
Zn 0.500 0.500 0.000
Mo 0.000 0.500 0.500
Mo 0.500 0.000 0.500

Values from the calculation:
Calculated density, g/cm³: 7.9
DOS(E_F), states/eV per cell: 2.982
Total moment, Bohr magnetons per cell: 0.0
Raw total energy, eV per atom: -6.863

***

No. 6
First-principles (PBE) data for a relaxed YZn2Mo crystal, as listed in Alexandria.

Cell: 9.540 9.540 9.540 Å, 18.37 18.37 18.37°
Element x y z (fractional)
Y 0.000 0.000 0.000
Zn 0.242 0.242 0.242
Zn 0.500 0.500 0.500
Mo 0.758 0.758 0.758

Values from the calculation:
Calculated density, g/cm³: 7.0
DOS(E_F), states/eV per cell: 2.930
Total moment, Bohr magnetons per cell: 0.0
Raw total energy, eV per atom: -4.583
E above lowest polymorph, meV/atom: 359

***

> Which of these has the lowest DOS(E_F)?

number 3